# Zr2ZnAg2 PBE relaxed
data_Zr2ZnAg2
_cell_length_a 6.9085
_cell_length_b 6.9085
_cell_length_c 4.2082
_cell_angle_alpha 90.00
_cell_angle_beta 90.00
_cell_angle_gamma 90.00
_symmetry_space_group_name_H-M 'P 4/m b m'
_symmetry_Int_Tables_number 127
_symmetry_space_group_name_Hall '-P 4 2ab'
loop_
_atom_site_label
_atom_site_fract_x
_atom_site_fract_y
_atom_site_fract_z
Zr1 0.1676 0.3324 0.0000
Zn1 0.0000 0.0000 0.5000
Ag1 0.1387 0.6387 0.5000
# DOS(E_F) ... 13.25 states/eV per cell
# Magnetization ... 0.000 μB/atom

# Zr2Zn15Ag2 PBE relaxed
data_Zr2Zn15Ag2
_cell_length_a 8.8963
_cell_length_b 8.8963
_cell_length_c 12.9992
_cell_angle_alpha 90.00
_cell_angle_beta 90.00
_cell_angle_gamma 120.00
_symmetry_space_group_name_H-M 'R -3 m'
_symmetry_Int_Tables_number 166
_symmetry_space_group_name_Hall '-R 3 2"'
loop_
_atom_site_label
_atom_site_fract_x
_atom_site_fract_y
_atom_site_fract_z
Zr1 0.0000 0.0000 0.1539
Zn1 0.0000 0.3030 0.5000
Zn2 0.0000 0.5000 0.0000
Zn3 0.0135 0.5067 0.6514
Ag1 0.0000 0.0000 0.3910
# DOS(E_F) ... 11.96 states/eV per cell
# Magnetization ... 0.000 μB/atom

# ZrZnAg2 PBE relaxed
data_ZrZnAg2
_cell_length_a 9.4552
_cell_length_b 2.8738
_cell_length_c 5.5072
_cell_angle_alpha 90.00
_cell_angle_beta 98.88
_cell_angle_gamma 90.00
_symmetry_space_group_name_H-M 'C 1 m 1'
_symmetry_Int_Tables_number 8
loop_
_symmetry_equiv_pos_as_xyz
'x,y,z'
'x,-y,z'
'x+1/2,y+1/2,z'
'x+1/2,-y+1/2,z'
loop_
_atom_site_label
_atom_site_fract_x
_atom_site_fract_y
_atom_site_fract_z
Zr1 0.0000 0.0000 0.0000
Zn1 0.2500 0.5000 0.2742
Ag1 0.2429 0.0000 0.7379
Ag2 0.4915 0.0000 0.4882
# DOS(E_F) ... 5.19 states/eV per cell
# Magnetization ... 0.000 μB/atom

# ZrZn3Ag PBE relaxed
data_ZrZn3Ag
_cell_length_a 5.0359
_cell_length_b 4.7835
_cell_length_c 7.7895
_cell_angle_alpha 90.00
_cell_angle_beta 108.78
_cell_angle_gamma 90.00
_symmetry_space_group_name_H-M 'P 1 21/m 1'
_symmetry_Int_Tables_number 11
loop_
_symmetry_equiv_pos_as_xyz
'x,y,z'
'-x,-y,-z'
'-x,y+1/2,-z'
'x,-y+1/2,z'
loop_
_atom_site_label
_atom_site_fract_x
_atom_site_fract_y
_atom_site_fract_z
Zr1 0.1964 0.2500 0.3962
Zn1 0.0000 0.0000 0.0000
Zn2 0.1235 0.2500 0.7374
Zn3 0.3841 0.7500 0.2640
Ag1 0.4263 0.7500 0.8506
# DOS(E_F) ... 7.15 states/eV per cell
# Magnetization ... 0.000 μB/atom

| no. | calculated total energy (eV per atom) | volume (Å³ per cell) |
| --- | --- | --- |
| 1 | -4.74 | 201 |
| 2 | -2.34 | 891 |
| 3 | -3.87 | 148 |
| 4 | -3.05 | 178 |